w:
Dy8Er3: optimized geometry, GGA-PBE.

Unit cell a=7.634 b=7.634 c=7.634 alpha=107.30 beta=107.30 gamma=107.30
Sites, in units of the cell vectors:
Dy (0.691, 0.181, 0.031)
Dy (0.031, 0.691, 0.181)
Dy (0.181, 0.031, 0.691)
Dy (0.749, 0.749, 0.749)
Dy (0.251, 0.251, 0.251)
Dy (0.819, 0.969, 0.309)
Dy (0.969, 0.309, 0.819)
Dy (0.309, 0.819, 0.969)
Er (0.000, 0.500, 0.500)
Er (0.500, 0.000, 0.500)
Er (0.500, 0.500, 0.000)

Output
crystal system	trigonal

***

x:
Dy8Er3: optimized geometry, GGA-PBE.

Unit cell a=7.116 b=7.116 c=7.116 alpha=84.16 beta=84.16 gamma=84.16
Sites, in units of the cell vectors:
Dy (0.881, 0.304, 0.154)
Dy (0.304, 0.154, 0.881)
Dy (0.154, 0.881, 0.304)
Dy (0.387, 0.387, 0.387)
Dy (0.613, 0.613, 0.613)
Dy (0.846, 0.119, 0.696)
Dy (0.696, 0.846, 0.119)
Dy (0.119, 0.696, 0.846)
Er (0.500, 0.000, 0.500)
Er (0.000, 0.500, 0.500)
Er (0.500, 0.500, 0.000)

Output
crystal system	trigonal

***

What should be chosen as the least stable of them? Choose x.

***

w:
Dy2Er: optimized geometry, GGA-PBE.

Unit cell a=6.508 b=6.508 c=6.508 alpha=60.00 beta=60.00 gamma=60.00
Sites, in units of the cell vectors:
Dy (0.125, 0.625, 0.625)
Dy (0.625, 0.125, 0.625)
Dy (0.625, 0.625, 0.625)
Dy (0.625, 0.625, 0.125)
Er (0.000, 0.000, 0.000)
Er (0.250, 0.250, 0.250)

Output
crystal system	cubic

***

x:
Dy2Er: optimized geometry, GGA-PBE.

Unit cell a=6.234 b=6.233 c=6.655 alpha=90.02 beta=117.93 gamma=120.01
Sites, in units of the cell vectors:
Dy (0.999, 0.583, 0.750)
Dy (0.001, 0.417, 0.250)
Dy (0.333, 0.249, 0.750)
Dy (0.667, 0.751, 0.250)
Er (0.667, 0.917, 0.750)
Er (0.333, 0.083, 0.250)

Output
crystal system	monoclinic

***

What should be chosen as the least stable of them? Choose w.

***

w:
Dy7Er: optimized geometry, GGA-PBE.

Unit cell a=7.053 b=7.053 c=7.053 alpha=60.00 beta=60.00 gamma=60.00
Sites, in units of the cell vectors:
Dy (0.500, 0.500, 0.000)
Dy (0.500, 0.000, 0.500)
Dy (0.000, 0.500, 0.500)
Dy (0.500, 0.000, 0.000)
Dy (0.000, 0.500, 0.000)
Dy (0.000, 0.000, 0.500)
Dy (0.500, 0.500, 0.500)
Er (0.000, 0.000, 0.000)

Output
crystal system	cubic

***

x:
Dy7Er: optimized geometry, GGA-PBE.

Unit cell a=3.512 b=8.674 c=8.674 alpha=79.06 beta=78.31 gamma=78.31
Sites, in units of the cell vectors:
Dy (0.740, 0.759, 0.759)
Dy (0.260, 0.241, 0.241)
Dy (0.000, 0.500, 0.500)
Dy (0.632, 0.600, 0.135)
Dy (0.368, 0.400, 0.865)
Dy (0.368, 0.865, 0.400)
Dy (0.632, 0.135, 0.600)
Er (0.000, 0.000, 0.000)

Output
crystal system	orthorhombic

***

What should be chosen as the least stable of them? Choose x.

***

w:
Dy13Er3: optimized geometry, GGA-PBE.

Unit cell a=7.057 b=7.057 c=9.966 alpha=90.00 beta=90.00 gamma=90.01
Sites, in units of the cell vectors:
Dy (0.500, 0.000, 0.250)
Dy (0.500, 0.500, 0.250)
Dy (0.000, 0.500, 0.250)
Dy (0.750, 0.750, 0.000)
Dy (0.250, 0.250, 0.000)
Dy (0.250, 0.750, 0.000)
Dy (0.500, 0.000, 0.750)
Dy (0.500, 0.500, 0.750)
Dy (0.000, 0.500, 0.750)
Dy (0.750, 0.250, 0.500)
Dy (0.750, 0.750, 0.500)
Dy (0.250, 0.250, 0.500)
Dy (0.250, 0.750, 0.500)
Er (0.000, 0.000, 0.250)
Er (0.750, 0.250, 0.000)
Er (0.000, 0.000, 0.750)

Output
crystal system	orthorhombic

***

x:
Dy13Er3: optimized geometry, GGA-PBE.

Unit cell a=7.223 b=8.384 c=8.384 alpha=96.24 beta=90.00 gamma=90.00
Sites, in units of the cell vectors:
Dy (0.750, 0.959, 0.542)
Dy (0.750, 0.541, 0.459)
Dy (0.750, 0.458, 0.041)
Dy (0.000, 0.709, 0.792)
Dy (0.000, 0.208, 0.291)
Dy (0.000, 0.792, 0.208)
Dy (0.250, 0.959, 0.542)
Dy (0.250, 0.541, 0.459)
Dy (0.250, 0.458, 0.041)
Dy (0.500, 0.291, 0.709)
Dy (0.500, 0.709, 0.792)
Dy (0.500, 0.208, 0.291)
Dy (0.500, 0.792, 0.208)
Er (0.750, 0.042, 0.958)
Er (0.000, 0.291, 0.709)
Er (0.250, 0.042, 0.958)

Output
crystal system	orthorhombic

***

What should be chosen as the least stable of them? Choose w.